(1)
# PBE RhAuS2, optimized geometry
data_RhAuS2
_symmetry_space_group_name_H-M 'I 4/m c m'
_symmetry_Int_Tables_number 140
_symmetry_space_group_name_Hall '-I 4 2c'
_cell_length_a 7.614
_cell_length_b 7.614
_cell_length_c 5.365
_cell_angle_alpha 90.00
_cell_angle_beta 90.00
_cell_angle_gamma 90.00
loop_
_atom_site_label
_atom_site_type_symbol
_atom_site_fract_x
_atom_site_fract_y
_atom_site_fract_z
Rh1 Rh 0.000 0.500 0.250
Au1 Au 0.000 0.000 0.250
S1 S 0.170 0.330 0.000
# energy: -4.5544 eV/atom
# uncorrected formation energy: 0.167 eV/atom
# mass density: 7.77 g/cm3

(2)
# PBE In5Sn12Pb3, optimized geometry
data_In5Sn12Pb3
_symmetry_space_group_name_H-M 'I a -3 d'
_symmetry_Int_Tables_number 230
_symmetry_space_group_name_Hall '-I 4bd 2c 3'
_cell_length_a 17.977
_cell_length_b 17.977
_cell_length_c 17.977
_cell_angle_alpha 90.00
_cell_angle_beta 90.00
_cell_angle_gamma 90.00
loop_
_atom_site_label
_atom_site_type_symbol
_atom_site_fract_x
_atom_site_fract_y
_atom_site_fract_z
In1 In 0.000 0.000 0.000
In2 In 0.000 0.250 0.375
Sn1 Sn 0.003 0.075 0.650
Pb1 Pb 0.000 0.250 0.125
# energy: -3.4121 eV/atom
# ΔH_f (0 K): 0.23 eV/atom
# mass density: 5.99 g/cm3

(3)
# PBE BeTcSb2, optimized geometry
data_BeTcSb2
_symmetry_space_group_name_H-M 'R -3 m'
_symmetry_Int_Tables_number 166
_symmetry_space_group_name_Hall '-R 3 2"'
_cell_length_a 3.3831
_cell_length_b 3.3831
_cell_length_c 22.2693
_cell_angle_alpha 90.00
_cell_angle_beta 90.00
_cell_angle_gamma 120.00
loop_
_atom_site_label
_atom_site_type_symbol
_atom_site_fract_x
_atom_site_fract_y
_atom_site_fract_z
Be1 Be 0.0000 0.0000 0.0000
Tc1 Tc 0.0000 0.0000 0.5000
Sb1 Sb 0.0000 0.0000 0.2532
# energy: -5.2441 eV/atom
# uncorrected formation energy: 0.340 eV/atom
# mass density: 7.91 g/cm3

(4)
# PBE TbHo2Rh4, optimized geometry
data_TbHo2Rh4
_symmetry_space_group_name_H-M 'P 4/m m m'
_symmetry_Int_Tables_number 123
_symmetry_space_group_name_Hall '-P 4 2'
_cell_length_a 4.660
_cell_length_b 4.660
_cell_length_c 6.651
_cell_angle_alpha 90.00
_cell_angle_beta 90.00
_cell_angle_gamma 90.00
loop_
_atom_site_label
_atom_site_type_symbol
_atom_site_fract_x
_atom_site_fract_y
_atom_site_fract_z
Tb1 Tb 0.000 0.000 0.000
Ho1 Ho 0.000 0.000 0.500
Ho2 Ho 0.500 0.500 0.000
Rh1 Rh 0.000 0.500 0.257
# energy: -6.6549 eV/atom
# ΔH_f (0 K): -0.48 eV/atom
# mass density: 10.35 g/cm3